Below is crystalline ErTh3S at its relaxed geometry, with properties calculated at the PBE level.

abc: 7.6649 7.6649 7.6649
angles: 120.00 120.00 90.01
Closest atoms and distances in Å follow each position.
Element x y z (fractional)
Er: 0.2500 0.7500 0.5000  12 Th 3.80-3.86
Er: 0.7500 0.2500 0.5000  12 Th 3.80-3.86
Th: 0.7537 0.7463 0.5000  2 S 2.71
Th: 0.2500 0.2500 0.0000  2 S 2.71
Th: 0.2537 0.7537 0.0075  2 S 2.71
Th: 0.7463 0.2463 0.9925  2 S 2.71
Th: 0.7500 0.7500 0.0000  2 S 2.71
Th: 0.2463 0.2537 0.5000  2 S 2.71
S: 0.0000 0.0000 0.0000  6 Th 2.71
S: 0.5000 0.5000 0.0000  6 Th 2.71

Calculated values
Electronic total energy: -6.753 eV/atom
Size of the total moment: 0.00 μB per atom
Space-group type: No. 140
Crystal system: tetragonal



Below is crystalline HgPd2Au at its relaxed geometry, with properties calculated at the PBE level.

abc: 6.0407 6.2221 7.3338
angles: 90.00 90.00 90.00
Closest atoms and distances in Å follow each position.
Element x y z (fractional)
Pd: 0.0000 0.5001 0.7496  4 Au 2.84, 4 Hg 2.84, 4 Pd 3.02-3.11
Pd: 0.5001 0.5001 0.2496  4 Au 2.84, 4 Hg 2.84, 4 Pd 3.02-3.11
Pd: 0.0000 0.4999 0.2504  4 Au 2.84, 4 Hg 2.84, 4 Pd 3.02-3.11
Pd: 0.4999 0.0000 0.7504  4 Au 2.84, 4 Hg 2.84, 4 Pd 3.02-3.11
Pd: 0.0000 0.0000 0.2504  4 Au 2.84, 4 Hg 2.84, 4 Pd 3.02-3.11
Pd: 0.4999 0.4999 0.7504  4 Au 2.84, 4 Hg 2.84, 4 Pd 3.02-3.11
Pd: 0.5001 0.0000 0.2496  4 Au 2.84, 4 Hg 2.84, 4 Pd 3.02-3.11
Pd: 0.0000 0.0000 0.7496  4 Au 2.84, 4 Hg 2.84, 4 Pd 3.02-3.11
Au: 0.2502 0.7500 0.5001  8 Pd 2.84, 4 Hg 3.02-3.11
Au: 0.2498 0.7500 0.0000  8 Pd 2.84, 4 Hg 3.02-3.11
Au: 0.7498 0.2500 0.4999  8 Pd 2.84, 4 Hg 3.02-3.11
Au: 0.7502 0.2500 0.0000  8 Pd 2.84, 4 Hg 3.02-3.11
Hg: 0.2494 0.2500 0.0000  8 Pd 2.84, 4 Au 3.02-3.11
Hg: 0.2506 0.2500 0.5000  8 Pd 2.84, 4 Au 3.02-3.11
Hg: 0.7506 0.7500 0.0000  8 Pd 2.84, 4 Au 3.02-3.11
Hg: 0.7494 0.7500 0.5000  8 Pd 2.84, 4 Au 3.02-3.11

Calculated values
Energy of formation: -0.163 eV per atom
Space-group type: No. 65
Crystal system: orthorhombic



Below is crystalline U2Fe3Sn2 at its relaxed geometry, with properties calculated at the PBE level.

abc: 6.3671 6.3671 4.8668
angles: 97.86 97.86 41.59
Closest atoms and distances in Å follow each position.
Element x y z (fractional)
Fe: 0.2072 0.2072 0.2902  1 U 2.12
Fe: 0.7928 0.7928 0.7098  1 U 2.12
Fe: 0.0000 0.0000 0.5000  2 U 2.31
Sn: 0.5929 0.5929 0.3264  5 Fe 2.66-2.80, 1 Sn 2.97
Sn: 0.4071 0.4071 0.6736  5 Fe 2.66-2.80, 1 Sn 2.97
U: 0.1510 0.1510 0.8556  2 Fe 2.12-2.31
U: 0.8490 0.8490 0.1444  2 Fe 2.12-2.31

Calculated values
Electronic total energy: -8.112 eV/atom
Size of the total moment: 0.01 μB per atom
Space-group type: No. 12
Crystal system: monoclinic



Below is crystalline Hf2Pd3Pb at its relaxed geometry, with properties calculated at the PBE level.

abc: 3.5196 3.5196 9.1165
angles: 90.00 90.00 90.00
Closest atoms and distances in Å follow each position.
Element x y z (fractional)
Pd: 0.0000 0.0000 0.8261  5 Hf 2.78-2.80, 4 Pd 2.91
Pd: 0.5000 0.5000 0.6614  5 Hf 2.75-2.81, 5 Pd 2.78-2.91
Pd: 0.5000 0.5000 0.3564  1 Pd 2.78, 4 Hf 2.90, 4 Pb 2.99
Pb: 0.0000 0.0000 0.1742  5 Pd 2.99-3.17, 5 Hf 3.14-3.15
Hf: 0.0000 0.0000 0.5190  9 Pd 2.80-2.90
Hf: 0.5000 0.5000 0.9628  5 Pd 2.75-2.78

Calculated values
Electronic total energy: -7.077 eV/atom
Size of the total moment: 0.00 μB per atom
Space-group type: No. 99
Crystal system: tetragonal